An optimized crystal structure of TaIn2Ag, computed with PBE.

abc: 5.1221 5.1221 5.6644
angles: 102.18 102.18 34.36
Closest atoms and distances in Å follow each position.
Positions (direct):
Ta: 0.0000 0.0000 0.0000  6 In 2.99-3.03, 2 Ta 3.03, 4 Ag 3.21
In: 0.2453 0.2453 0.7533  3 Ag 2.93-3.14, 3 Ta 2.99-3.03, 6 In 3.03-3.26
In: 0.7547 0.7547 0.2467  3 Ag 2.93-3.14, 3 Ta 2.99-3.03, 6 In 3.03-3.26
Ag: 0.5000 0.5000 0.5000  6 In 2.93-3.14, 2 Ag 3.03, 4 Ta 3.21

Summary:
Calculated volume ... 20.45 Å³ per atom
Formation energy ... 1.3 eV per formula unit
Magnetic moment ... 0.00 μB per formula unit